Below is a relaxed BePtRh crystal, with properties calculated at the PBE level.

Geometry as CIF:
```
data_BePtRh
_chemical_formula_sum 'Be3 Pt3 Rh3'
_space_group_name_H-M_alt 'P -6 2 m'
_space_group_IT_number 189
_space_group_name_Hall 'P -6 -2'
_cell_length_a 6.8493
_cell_length_b 6.8493
_cell_length_c 2.8091
_cell_angle_alpha 90.00
_cell_angle_beta 90.00
_cell_angle_gamma 120.00
loop_
_atom_site_label
_atom_site_type_symbol
_atom_site_fract_x
_atom_site_fract_y
_atom_site_fract_z
Be1 Be 0.0000 0.0000 0.0000
Be2 Be 0.3333 0.6667 0.5000
Pt1 Pt 0.0000 0.6012 0.0000
Rh1 Rh 0.0000 0.2567 0.5000
```

Results
Energy relative to the lowest polymorph listed for this composition in meV/atom: 106
Crystal system: hexagonal
Total magnetization in μB/cell: 0.0